Crystalline NaYTc2 at its relaxed geometry. Source: the Alexandria database, functional GGA-PBE. Values from VASP.

Output
Space group: I-42d
Formation energy from the elements, eV per atom: 1.10
Offset from the most stable computed form, eV/f.u.: 0.403
ρ, Mg/m³: 6.49
Total DFT energy (no corrections), eV/f.u.: -24.11

Geometry as Quantum ESPRESSO input:
```
&SYSTEM
  ibrav = 0, nat = 8, ntyp = 3
/
ATOMIC_SPECIES
Y 88.91 Y.upf
Na 22.99 Na.upf
Tc 98.00 Tc.upf
ATOMIC_POSITIONS angstrom
Y 0.000 0.000 0.000
Y 0.892 -8.595 1.621
Na 2.372 -4.782 1.319
Na 4.741 -5.898 4.475
Tc 0.109 -6.006 0.460
Tc 3.894 -3.632 3.248
Tc 2.580 -7.328 3.673
Tc 4.684 -12.020 4.812
CELL_PARAMETERS angstrom
-1.477 -7.479 -1.535
6.222 -2.085 4.174
0.889 -4.928 3.457
```